Record 1
Compound: Mg2CoTc
Source: Alexandria via LeMat-Bulk
Functional: GGA-PBE
Structure: optimized geometry

Output
Its energy of formation from the pure elements is 0.280 eV/atom. The value obtained for the total energy is -19.5 eV/cell. Its energy relative to the lowest polymorph listed for this composition is 207 meV per atom. As for the space group: P2/m. The calculation puts the calculated volume at 60.7 Å³/cell.

```
4
Lattice="2.651 0.000 0.000 0.000 4.375 0.000 -1.163 0.000 5.230" Properties=species:S:1:pos:R:3 pbc="T T T"
Mg 0.254 0.000 1.329
Mg 1.234 0.000 3.902
Co -0.581 2.187 2.615
Tc 1.325 2.187 0.000
```

Record 2
Compound: MgCoTc
Source: Alexandria via LeMat-Bulk
Functional: GGA-PBE
Structure: optimized geometry

Output
Its energy of formation from the pure elements is 0.419 eV/atom. The value obtained for the total energy is -71.2 eV/cell. Its energy relative to the lowest polymorph listed for this composition is 352 meV per atom. As for the space group: F-43m. The calculation puts the calculated volume at 186.0 Å³/cell.

```
12
Lattice="5.709 0.000 0.000 0.000 5.709 0.000 0.000 0.000 5.709" Properties=species:S:1:pos:R:3 pbc="T T T"
Mg 0.000 0.000 0.000
Mg 0.000 2.854 2.854
Mg 2.854 0.000 2.854
Mg 2.854 2.854 0.000
Co 1.427 1.427 1.427
Co 1.427 4.281 4.281
Co 4.281 1.427 4.281
Co 4.281 4.281 1.427
Tc 0.000 0.000 2.854
Tc 0.000 2.854 0.000
Tc 2.854 0.000 0.000
Tc 2.854 2.854 2.854
```

Record 3
Compound: MgCoTc2
Source: Alexandria via LeMat-Bulk
Functional: GGA-PBE
Structure: optimized geometry

Output
Its energy of formation from the pure elements is 0.201 eV/atom. The value obtained for the total energy is -28.6 eV/cell. As for the space group: P4/mmm. The calculation puts the calculated volume at 57.0 Å³/cell.

```
4
Lattice="2.647 0.000 0.000 0.000 2.647 0.000 0.000 0.000 8.132" Properties=species:S:1:pos:R:3 pbc="T T T"
Mg 0.000 0.000 0.000
Co 0.000 0.000 4.066
Tc 1.324 1.324 2.257
Tc 1.324 1.324 5.875
```